1.
Crystalline SmBeZn2 at its relaxed geometry. Source: the Alexandria database, functional PBE-GGA.

a b c (Å): 5.6329 5.6329 5.6329
angles (deg): 42.28 42.28 42.28
With the nearest neighbours (Å) after each atom.
Positions (direct):
Sm (0.0000, 0.0000, 0.0000)  8 Zn 3.07-3.14
Be (0.5000, 0.5000, 0.5000)  6 Zn 2.42
Zn (0.2041, 0.2041, 0.2041)  3 Be 2.42, 3 Zn 2.61
Zn (0.7959, 0.7959, 0.7959)  3 Be 2.42, 3 Zn 2.61

Computed properties:
- ΔE_f: -0.148 eV/atom
- Magnetization: 0.000 μB per cell
- Density of states at the Fermi level: 3.2 states/eV/cell


2.
Crystalline ZrAl2Pb at its relaxed geometry. Source: the Alexandria database, functional PBE-GGA.

a b c (Å): 3.1630 3.1630 8.8711
angles (deg): 90.00 90.00 93.44
With the nearest neighbours (Å) after each atom.
Positions (direct):
Zr (0.0000, 0.0000, 0.0000)  8 Al 2.93-3.03, 4 Zr 3.16
Al (0.5000, 0.5000, 0.2216)  4 Zr 2.93-3.03, 4 Al 3.16
Al (0.5000, 0.5000, 0.7784)  4 Zr 2.93-3.03, 4 Al 3.16
Pb (0.0000, 0.0000, 0.5000)  4 Pb 3.16, 8 Al 3.29-3.38

Computed properties:
- ΔE_f: -0.012 eV/atom
- Magnetization: 0.000 μB per cell
- Density of states at the Fermi level: 2.6 states/eV/cell


3.
Crystalline Be3HgIr at its relaxed geometry. Source: the Alexandria database, functional PBE-GGA.

a b c (Å): 4.2650 4.2650 4.2650
angles (deg): 90.00 90.00 90.00
With the nearest neighbours (Å) after each atom.
Positions (direct):
Be (0.0000, 0.0000, 0.5000)  2 Hg 2.13
Be (0.0000, 0.5000, 0.0000)  2 Hg 2.13
Be (0.5000, 0.0000, 0.0000)  2 Hg 2.13
Hg (0.0000, 0.0000, 0.0000)  6 Be 2.13
Ir (0.5000, 0.5000, 0.5000)  12 Be 3.02

Computed properties:
- ΔE_f: 1.286 eV/atom
- Magnetization: 0.000 μB per cell
- E above lowest polymorph: 947 meV per atom
- Density of states at the Fermi level: 3.0 states/eV/cell


4.
Crystalline RbNp2TcO8 at its relaxed geometry. Source: the Alexandria database, functional PBE-GGA.

a b c (Å): 5.0102 5.0542 7.1661
angles (deg): 88.75 88.31 87.17
With the nearest neighbours (Å) after each atom.
Positions (direct):
Rb (0.0000, 0.0000, 0.0000)  6 O 2.53-2.64
Np (0.4851, 0.4842, 0.2636)  4 O 1.95-2.14
Np (0.5149, 0.5158, 0.7364)  4 O 1.95-2.14
Tc (0.0000, 0.0000, 0.5000)  6 O 1.97-2.12
O (0.2071, 0.7964, 0.6895)  1 Tc 1.97, 1 Np 2.07
O (0.2178, 0.8048, 0.3081)  1 Tc 1.98, 1 Np 2.07
O (0.2856, 0.2970, 0.4946)  1 Tc 2.12, 1 Np 2.14
O (0.3300, 0.3590, 0.9526)  1 Np 1.95
O (0.6700, 0.6410, 0.0474)  1 Np 1.95
O (0.7144, 0.7030, 0.5054)  1 Tc 2.12, 1 Np 2.14
O (0.7822, 0.1952, 0.6919)  1 Tc 1.98, 1 Np 2.07
O (0.7929, 0.2036, 0.3105)  1 Tc 1.97, 1 Np 2.07

Computed properties:
- Magnetization: 6.062 μB per cell
- Density of states at the Fermi level: 3.7 states/eV/cell
- E_form (uncorrected): -2181 meV per atom


5.
Crystalline Ba2TlIrN at its relaxed geometry. Source: the Alexandria database, functional PBE-GGA.

a b c (Å): 6.0481 6.0481 3.7985
angles (deg): 90.00 90.00 90.00
With the nearest neighbours (Å) after each atom.
Positions (direct):
Ba (0.0000, 0.5000, 0.0000)  2 N 3.02
Ba (0.5000, 0.0000, 0.0000)  2 N 3.02
Tl (0.0000, 0.0000, 0.5000)  8 Ba 3.57, 2 Tl 3.80
Ir (0.5000, 0.5000, 0.5000)  2 N 1.90
N (0.5000, 0.5000, 0.0000)  2 Ir 1.90

Computed properties:
- Magnetization: 0.000 μB per cell
- Density of states at the Fermi level: 4.2 states/eV/cell
- E_form (uncorrected): -419 meV per atom


6.
Crystalline SmMg2Cd5 at its relaxed geometry. Source: the Alexandria database, functional PBE-GGA.

a b c (Å): 9.5099 9.5099 9.5099
angles (deg): 152.11 152.11 39.85
With the nearest neighbours (Å) after each atom.
Positions (direct):
Sm (0.0000, 0.0000, 0.0000)  12 Cd 3.24-3.29
Mg (0.2456, 0.2456, 0.0000)  8 Cd 3.06-3.17, 4 Mg 3.24
Mg (0.7544, 0.7544, 0.0000)  8 Cd 3.06-3.17, 4 Mg 3.24
Cd (0.1322, 0.6322, 0.5000)  4 Mg 3.06-3.17, 6 Cd 3.24-3.29, 2 Sm 3.29
Cd (0.3678, 0.8678, 0.5000)  4 Mg 3.06-3.17, 6 Cd 3.24-3.29, 2 Sm 3.29
Cd (0.5000, 0.5000, 0.0000)  4 Sm 3.24, 8 Cd 3.29
Cd (0.6322, 0.1322, 0.5000)  4 Mg 3.06-3.17, 6 Cd 3.24-3.29, 2 Sm 3.29
Cd (0.8678, 0.3678, 0.5000)  4 Mg 3.06-3.17, 6 Cd 3.24-3.29, 2 Sm 3.29

Computed properties:
- ΔE_f: -0.185 eV/atom
- Magnetization: 0.000 μB per cell
- Density of states at the Fermi level: 4.7 states/eV/cell


Q: Among the records above, which one has the lowest density of states at the Fermi level?
A: ZrAl2Pb